8
Lattice="-3.8542 3.8542 2.6724 3.8542 -3.8542 2.6724 3.8542 3.8542 -2.6724" Properties=species:S:1:pos:R:3 comment="NbCd2Rh | the Alexandria database | PBE-GGA | optimized geometry" ef_ev_per_atom=0.496 total_energy_ev_per_atom=-4.32 m_tot_mub_per_atom=0.000 pbc="T T T"
Nb 0.0000 0.0000 0.0000
Nb 0.0000 3.8542 1.3362
Cd 1.9271 -1.7583 2.0043
Cd 2.0960 1.9271 0.6681
Cd 1.9271 5.6125 -0.6681
Cd 1.7583 1.9271 3.3405
Rh 3.8542 0.0000 1.3362
Rh 0.0000 0.0000 2.6724

***

5
Lattice="-1.8461 1.8461 6.3666 1.8461 -1.8461 6.3666 1.8461 1.8461 -6.3666" Properties=species:S:1:pos:R:3 comment="HfTi2V2 | the Alexandria database | PBE-GGA | optimized geometry" ef_ev_per_atom=0.357 total_energy_ev_per_atom=-8.44 m_tot_mub_per_atom=0.000 polymorph_energy_mev_per_atom=177.8 pbc="T T T"
Hf 0.0000 0.0000 0.0000
Ti 0.0000 0.0000 5.0549
Ti 0.0000 0.0000 7.6783
V 1.8461 0.0000 3.1833
V 0.0000 1.8461 3.1833

***

4
Lattice="1.4224 0.8212 8.2764 -1.4224 0.8212 8.2764 0.0000 -1.6425 8.2764" Properties=species:S:1:pos:R:3 comment="FeIr2Se | the Alexandria database | PBE-GGA | optimized geometry" total_energy_ev_per_atom=-7.13 m_tot_mub_per_atom=0.525 pbc="T T T"
Fe 0.0000 0.0000 0.0000
Ir 0.0000 0.0000 12.4962
Ir 0.0000 0.0000 18.5871
Se 0.0000 0.0000 6.4452

***

> What is the formula in the first record?

NbCd2Rh